## Mn2C (SCAN)

Data for a PBEsol-optimized structure of Mn2C.

Results
Magnetization, μB/f.u.: 0.00
Raw total energy, eV/atom: -15.3311

```
data_Mn2C
_chemical_formula_sum 'Mn8 C4'
_cell_length_a 8.612
_cell_length_b 2.588
_cell_length_c 5.489
_cell_angle_alpha 90.00
_cell_angle_beta 124.01
_cell_angle_gamma 90.00
_symmetry_space_group_name_H-M 'C 1 2/m 1'
_symmetry_Int_Tables_number 12
_symmetry_space_group_name_Hall '-C 2y'
loop_
_atom_site_label
_atom_site_type_symbol
_atom_site_fract_x
_atom_site_fract_y
_atom_site_fract_z
_atom_site_occupancy
Mn1 Mn 0.098 0.000 0.403 1
Mn2 Mn 0.151 0.500 0.060 1
C1 C 0.148 0.500 0.708 1
```